1.
This record from the Alexandria database describes an optimized crystal structure of HoGa2Tc2C. The functional is PBE.

POSCAR file:
```
HoGa2Tc2C
1.0
4.153 0.000 0.000
0.000 4.153 0.000
0.000 0.000 5.492
Ho Ga Tc C
1 2 2 1
direct
0.000 0.000 0.000
0.500 0.500 0.220
0.500 0.500 0.780
0.000 0.500 0.500
0.500 0.000 0.500
0.000 0.000 0.500
```

* DOS at the Fermi energy: 0.586 states/eV/atom
* spin magnetization: 0.0 Bohr magnetons per cell
* formation energy: -367 meV per atom
* total energy: -7.13 eV/atom


2.
This record from the Alexandria database describes an optimized crystal structure of LiSb3. The functional is PBE.

POSCAR file:
```
LiSb3
1.0
8.430 0.000 0.000
0.000 8.113 0.000
0.000 0.000 6.130
Li Sb
4 12
direct
0.041 0.250 0.126
0.459 0.750 0.626
0.541 0.250 0.374
0.959 0.750 0.874
0.002 0.750 0.371
0.243 0.513 0.890
0.243 0.987 0.890
0.257 0.013 0.390
0.257 0.487 0.390
0.498 0.250 0.871
0.502 0.750 0.129
0.743 0.513 0.610
0.743 0.987 0.610
0.757 0.013 0.110
0.757 0.487 0.110
0.998 0.250 0.629
```

* DOS at the Fermi energy: 0.356 states/eV/atom
* raw formation energy: -97 meV per atom
* spin magnetization: 0.0 Bohr magnetons per cell
* relative energy among the computed polymorphs: 38.9 meV/atom
* total energy: -3.67 eV/atom


3.
This record from the Alexandria database describes an optimized crystal structure of BaSrTl2. The functional is PBE.

POSCAR file:
```
BaSrTl2
1.0
8.392 0.000 0.000
0.000 8.392 0.000
0.000 0.000 8.392
Ba Sr Tl
4 4 8
direct
0.000 0.000 0.000
0.000 0.500 0.500
0.500 0.000 0.500
0.500 0.500 0.000
0.250 0.250 0.750
0.250 0.750 0.250
0.750 0.250 0.250
0.750 0.750 0.750
0.000 0.000 0.500
0.000 0.500 0.000
0.250 0.250 0.250
0.250 0.750 0.750
0.500 0.000 0.000
0.500 0.500 0.500
0.750 0.250 0.750
0.750 0.750 0.250
```

* DOS at the Fermi energy: 0.722 states/eV/atom
* spin magnetization: 0.0 Bohr magnetons per cell
* formation energy: -170 meV per atom
* total energy: -2.25 eV/atom


4.
This record from the Alexandria database describes an optimized crystal structure of TcRuRh2. The functional is PBE.

POSCAR file:
```
TcRuRh2
1.0
9.005 0.000 0.000
0.000 2.701 0.000
-0.793 0.000 4.662
Tc Ru Rh
2 2 4
direct
0.000 0.000 0.000
0.500 0.500 0.000
0.249 0.500 0.247
0.749 0.000 0.247
0.252 0.000 0.752
0.497 0.000 0.494
0.752 0.500 0.752
0.997 0.500 0.494
```

* DOS at the Fermi energy: 1.197 states/eV/atom
* spin magnetization: 0.0 Bohr magnetons per cell
* relative energy among the computed polymorphs: 65.5 meV/atom
* formation energy: -12 meV per atom
* total energy: -8.60 eV/atom